(one)
# ScTcPt2

ScTcPt2 at its PBEsol-relaxed geometry (SCAN, the Alexandria database).

abc: 3.9534 3.9534 4.8303
angles: 114.16 114.16 90.00
With the nearest neighbours (Å) after each atom.
Atoms (fractional coordinates):
Sc 0.5000 0.5000 0.0000  4 Tc 2.79, 8 Pt 2.79-2.80
Pt 0.2500 0.7500 0.5000  4 Sc 2.79, 4 Pt 2.79, 4 Tc 2.80
Pt 0.0000 0.0000 0.0000  4 Tc 2.79, 4 Pt 2.79, 4 Sc 2.80
Tc 0.7500 0.2500 0.5000  4 Sc 2.79, 8 Pt 2.79-2.80

Summary:
**M_tot**: 2.07 Bohr magnetons per cell
**Symmetry**: I-4m2, No. 119

***

(two)
# ScTcPt2

ScTcPt2 at its PBEsol-relaxed geometry (SCAN, the Alexandria database).

abc: 2.8006 4.8148 4.8546
angles: 99.52 106.77 90.00
With the nearest neighbours (Å) after each atom.
Atoms (fractional coordinates):
Sc 0.5000 0.0000 0.0000  6 Pt 2.78-2.85, 4 Tc 2.79, 2 Sc 2.80
Tc 0.0000 0.5000 0.0000  6 Pt 2.75-2.81, 4 Sc 2.79, 2 Tc 2.80
Pt 0.7449 0.7398 0.4898  6 Pt 2.72-2.86, 3 Tc 2.75-2.81, 3 Sc 2.78-2.85
Pt 0.2551 0.2602 0.5102  6 Pt 2.72-2.86, 3 Tc 2.75-2.81, 3 Sc 2.78-2.85

Summary:
**M_tot**: 0.00 Bohr magnetons per cell
**Symmetry**: C2/m, No. 12

***

Pick (one): it beats the second-best structure by 156 meV per atom.

***

(one)
# BaAg3

BaAg3 at its PBEsol-relaxed geometry (SCAN, the Alexandria database).

abc: 4.7312 7.1145 7.1145
angles: 120.03 90.00 90.00
With the nearest neighbours (Å) after each atom.
Atoms (fractional coordinates):
Ag 0.7500 0.1310 0.8690  6 Ag 2.80-2.86
Ag 0.7500 0.1311 0.2621  6 Ag 2.80-2.86
Ba 0.7500 0.6668 0.3332  12 Ag 3.44-3.58
Ba 0.2500 0.3332 0.6668  12 Ag 3.44-3.58
Ag 0.2500 0.8689 0.7379  6 Ag 2.80-2.86
Ag 0.2500 0.8690 0.1310  6 Ag 2.80-2.86
Ag 0.2500 0.2621 0.1311  6 Ag 2.80-2.86
Ag 0.7500 0.7379 0.8689  6 Ag 2.80-2.86

Summary:
**M_tot**: 0.00 Bohr magnetons per cell
**Symmetry**: P6_3/mmc, No. 194

***

(two)
# BaAg3

BaAg3 at its PBEsol-relaxed geometry (SCAN, the Alexandria database).

abc: 4.2392 4.2392 7.2304
angles: 90.00 90.00 120.00
With the nearest neighbours (Å) after each atom.
Atoms (fractional coordinates):
Ba 0.3333 0.6667 0.5000  8 Ag 3.33-3.62
Ag 0.0000 0.0000 0.1873  4 Ag 2.71-2.80
Ag 0.3333 0.6667 0.0000  6 Ag 2.80
Ag 0.0000 0.0000 0.8127  4 Ag 2.71-2.80

Summary:
**M_tot**: 0.00 Bohr magnetons per cell
**Symmetry**: P-6m2, No. 187

***

Pick (one): it beats the second-best structure by 272 meV per atom.